[1]
Entry from the Alexandria database: a relaxed BeReMo crystal (GGA-PBE).

Cell lengths 5.565, 5.565, 5.565 Å; angles 151.48, 151.48, 40.78 degrees
Fractional positions:
Mo (0.349, 0.349, 0.000)
Re (0.646, 0.646, 0.000)
Be (0.005, 0.005, 0.000)

Output
excess energy over the best structure of this formula in the dataset: 0.4131 eV per atom
SG: I4mm
calculated volume: 13.07 A^3/atom
energy of formation from the pure elements: 0.19 eV per atom
total magnetic moment: 0.00 μB/f.u.
crystal system: tetragonal

=====

[2]
Entry from the Alexandria database: a relaxed BeReMo2 crystal (GGA-PBE).

Cell lengths 2.693, 2.693, 8.145 Å; angles 90.00, 90.00, 108.04 degrees
Fractional positions:
Mo (0.000, 0.000, 0.976)
Mo (0.500, 0.500, 0.252)
Be (0.500, 0.500, 0.747)
Re (0.000, 0.000, 0.525)

Output
SG: Cmm2
calculated volume: 14.04 A^3/atom
energy of formation from the pure elements: 0.10 eV per atom
total magnetic moment: 0.00 μB/f.u.
crystal system: orthorhombic

=====

[3]
Entry from the Alexandria database: a relaxed BeReMo2Rh crystal (GGA-PBE).

Cell lengths 4.180, 4.130, 4.180 Å; angles 90.00, 90.00, 90.00 degrees
Fractional positions:
Re (0.000, 0.500, 0.000)
Mo (0.500, 0.000, 0.000)
Rh (0.500, 0.500, 0.500)
Mo (0.000, 0.000, 0.500)
Be (0.000, 0.000, 0.000)

Output
SG: P4/mmm
calculated volume: 14.43 A^3/atom
energy of formation from the pure elements: 0.60 eV per atom
total magnetic moment: 0.00 μB/f.u.
crystal system: tetragonal

=====

[4]
Entry from the Alexandria database: a relaxed Be2Re2MoRu5 crystal (GGA-PBE).

Cell lengths 2.982, 9.408, 9.408 Å; angles 90.00, 90.00, 90.00 degrees
Fractional positions:
Re (0.000, 0.677, 0.177)
Be (0.000, 0.122, 0.622)
Ru (0.500, 0.207, 0.075)
Ru (0.500, 0.925, 0.207)
Ru (0.500, 0.293, 0.575)
Ru (0.500, 0.793, 0.925)
Be (0.000, 0.378, 0.122)
Ru (0.500, 0.500, 0.000)
Be (0.000, 0.878, 0.378)
Ru (0.500, 0.075, 0.793)
Mo (0.000, 0.000, 0.000)
Ru (0.500, 0.575, 0.707)
Ru (0.500, 0.707, 0.425)
Ru (0.500, 0.000, 0.500)
Mo (0.000, 0.500, 0.500)
Re (0.000, 0.823, 0.677)
Re (0.000, 0.177, 0.323)
Re (0.000, 0.323, 0.823)
Be (0.000, 0.622, 0.878)
Ru (0.500, 0.425, 0.293)

Output
SG: P4/mbm
calculated volume: 13.20 A^3/atom
energy of formation from the pure elements: 0.06 eV per atom
total magnetic moment: 0.00 μB/f.u.
crystal system: tetragonal

=====

[5]
Entry from the Alexandria database: a relaxed Be2ReSbMo crystal (GGA-PBE).

Cell lengths 4.297, 4.997, 4.297 Å; angles 90.00, 90.00, 90.00 degrees
Fractional positions:
Re (0.000, 0.000, 0.000)
Be (0.000, 0.000, 0.500)
Mo (0.500, 0.500, 0.500)
Sb (0.000, 0.500, 0.000)
Be (0.500, 0.000, 0.000)

Output
SG: P4/mmm
calculated volume: 18.45 A^3/atom
formation energy from raw total energies: 1.24 eV/atom
total magnetic moment: 2.86 μB/f.u.
crystal system: tetragonal

=====

[6]
Entry from the Alexandria database: a relaxed Sr2BeReMo crystal (GGA-PBE).

Cell lengths 5.815, 4.356, 5.815 Å; angles 90.00, 90.00, 90.00 degrees
Fractional positions:
Sr (0.000, 0.000, 0.500)
Mo (0.000, 0.000, 0.000)
Re (0.500, 0.500, 0.500)
Sr (0.500, 0.000, 0.000)
Be (0.000, 0.500, 0.000)

Output
SG: P4/mmm
calculated volume: 29.46 A^3/atom
energy of formation from the pure elements: 1.92 eV per atom
total magnetic moment: 5.68 μB/f.u.
crystal system: tetragonal